First-principles (PBE-GGA) data for a geometry-optimized Pr4Y3In4 structure, as listed in Alexandria.

The space group is Immm (No. 71) and the conventional cell measures 3.6459, 9.5169 and 19.6070 Å, with angles of 90.00, 90.00 and 90.00 degrees. Symmetry generates all atoms from Pr at (0.0000, 0.1738, 0.1625), Y at (0.0000, 0.0000, 0.4073), Y at (0.0000, 0.5000, 0.5000), In at (0.0000, 0.2799, 0.0000) and In at (0.0000, 0.5000, 0.2228).

The formation enthalpy at 0 K is -0.34 eV per atom. The calculation puts the final energy at -4.8322 eV/atom.

First-principles (PBE-GGA) data for a geometry-optimized CaCd5In4 structure, as listed in Alexandria.

The space group is C2/m (No. 12) and the conventional cell measures 14.1575, 4.9717 and 10.4901 Å, with angles of 90.00, 131.10 and 90.00 degrees. Symmetry generates all atoms from Ca at (0.0000, 0.0000, 0.0000), Cd at (0.0000, 0.0000, 0.5000), Cd at (0.1563, 0.5000, 0.6760), Cd at (0.2071, 0.5000, 0.1721), In at (0.0043, 0.5000, 0.7790) and In at (0.1686, 0.0000, 0.4115).

The formation enthalpy at 0 K is -0.03 eV per atom. The calculation puts the final energy at -1.7812 eV/atom.

First-principles (PBE-GGA) data for a geometry-optimized Zr2CrSnH structure, as listed in Alexandria.

The space group is P4/mmm (No. 123) and the conventional cell measures 4.5245, 4.5245 and 3.9015 Å, with angles of 90.00, 90.00 and 90.00 degrees. Symmetry generates all atoms from Zr at (0.0000, 0.5000, 0.0000), Cr at (0.0000, 0.0000, 0.5000), Sn at (0.5000, 0.5000, 0.5000) and H at (0.0000, 0.0000, 0.0000).

The calculation puts the final energy at -7.0323 eV/atom.

First-principles (PBE-GGA) data for a geometry-optimized CaCdSnHg structure, as listed in Alexandria.

The space group is F-43m (No. 216) and the conventional cell measures 7.4451, 7.4451 and 7.4451 Å, with angles of 90.00, 90.00 and 90.00 degrees. Symmetry generates all atoms from Ca at (0.0000, 0.0000, 0.0000), Cd at (0.0000, 0.0000, 0.5000), Sn at (0.2500, 0.2500, 0.7500) and Hg at (0.2500, 0.2500, 0.2500).

The formation enthalpy at 0 K is -0.35 eV per atom. The calculation puts the final energy at -2.1535 eV/atom.

First-principles (PBE-GGA) data for a geometry-optimized AgBi3 structure, as listed in Alexandria.

The space group is Imm2 (No. 44) and the conventional cell measures 3.3741, 12.5251 and 5.5818 Å, with angles of 90.00, 90.00 and 90.00 degrees. Symmetry generates all atoms from Ag at (0.0000, 0.0000, 0.0000), Bi at (0.0000, 0.3045, 0.6412) and Bi at (0.0000, 0.5000, 0.0296).

The formation enthalpy at 0 K is 0.11 eV per atom. The value obtained for the energy above the most stable polymorph in this dataset is 0 meV/atom. The calculation puts the final energy at -3.5139 eV/atom.

First-principles (PBE-GGA) data for a geometry-optimized MgSi3Bi structure, as listed in Alexandria.

The space group is Pm-3m (No. 221) and the conventional cell measures 4.9488, 4.9488 and 4.9488 Å, with angles of 90.00, 90.00 and 90.00 degrees. Symmetry generates all atoms from Mg at (0.0000, 0.0000, 0.0000), Si at (0.0000, 0.0000, 0.5000) and Bi at (0.5000, 0.5000, 0.5000).

The value obtained for the energy above the most stable polymorph in this dataset is 0 meV/atom. The calculation puts the final energy at -3.3575 eV/atom.

First-principles (PBE-GGA) data for a geometry-optimized Cs2RbBr4 structure, as listed in Alexandria.

The space group is I4/mmm (No. 139) and the conventional cell measures 6.4395, 6.4395 and 18.3886 Å, with angles of 90.00, 90.00 and 90.00 degrees. Symmetry generates all atoms from Cs at (0.0000, 0.0000, 0.1227), Rb at (0.0000, 0.0000, 0.5000), Br at (0.0000, 0.0000, 0.3149) and Br at (0.0000, 0.5000, 0.0000).

The calculation puts the final energy at -2.6625 eV/atom.

First-principles (PBE-GGA) data for a geometry-optimized Na2SiH6Pd structure, as listed in Alexandria.

The space group is C2/m (No. 12) and the conventional cell measures 7.2363, 7.2250 and 5.1364 Å, with angles of 90.00, 134.63 and 90.00 degrees. Symmetry generates all atoms from Na at (0.0000, 0.2494, 0.0000), Si at (0.0000, 0.0000, 0.5000), H at (0.0000, 0.2407, 0.5000), H at (0.2377, 0.0000, 0.9750), H at (0.2406, 0.0000, 0.5012) and Pd at (0.0000, 0.5000, 0.5000).

The calculation puts the final energy at -3.4289 eV/atom.